No. 1
Here is PuNpAgBi after structural relaxation from Alexandria. Energies are from GGA-PBE.

Calculated values
Energy of formation from the pure elements, kJ/mol of atoms: 21.93
Theoretical density, kg/m3: 12130
Volume, Å³/cell: 109.2
Symmetry: F-43m

Lattice parameters (Å, degrees): 5.3655 5.3655 5.3655 60.00 60.00 60.00
Closest atoms and distances in Å follow each position.
Element x y z (fractional)
Pu: 0.0000 0.0000 0.0000  4 Ag 3.29, 4 Bi 3.29
Np: 0.5000 0.5000 0.5000  4 Bi 3.29, 4 Ag 3.29
Ag: 0.2500 0.2500 0.2500  4 Np 3.29, 4 Pu 3.29
Bi: 0.7500 0.7500 0.7500  4 Pu 3.29, 4 Np 3.29



No. 2
Here is Pm2HgP after structural relaxation from Alexandria. Energies are from GGA-PBE.

Calculated values
Energy of formation from the pure elements, kJ/mol of atoms: -77.47
Theoretical density, kg/m3: 8781
Volume, Å³/cell: 98.6
Symmetry: P4/mmm
Excess energy over the best structure of this formula in the dataset, meV/atom: 180

Lattice parameters (Å, degrees): 3.7380 3.7380 7.0588 90.00 90.00 90.00
Closest atoms and distances in Å follow each position.
Element x y z (fractional)
Pm: 0.0000 0.0000 0.2243  4 P 3.08, 1 Pm 3.17, 4 Hg 3.28
Pm: 0.0000 0.0000 0.7757  4 P 3.08, 1 Pm 3.17, 4 Hg 3.28
Hg: 0.5000 0.5000 0.5000  8 Pm 3.28, 2 P 3.53
P: 0.5000 0.5000 0.0000  8 Pm 3.08



No. 3
Here is HfNi4Ge2 after structural relaxation from Alexandria. Energies are from GGA-PBE.

Calculated values
Energy of formation from the pure elements, kJ/mol of atoms: -39.97
Theoretical density, kg/m3: 9658
Volume, Å³/cell: 384.1
Symmetry: Pnma
Excess energy over the best structure of this formula in the dataset, meV/atom: 33

Lattice parameters (Å, degrees): 14.7431 3.9525 6.5918 90.00 90.00 90.00
Closest atoms and distances in Å follow each position.
Element x y z (fractional)
Hf: 0.1459 0.2500 0.0668  8 Ni 2.70-2.83, 5 Ge 2.88-3.02
Hf: 0.3541 0.7500 0.5668  8 Ni 2.70-2.83, 5 Ge 2.88-3.02
Hf: 0.6459 0.2500 0.4332  8 Ni 2.70-2.83, 5 Ge 2.88-3.02
Hf: 0.8541 0.7500 0.9332  8 Ni 2.70-2.83, 5 Ge 2.88-3.02
Ni: 0.0411 0.7500 0.8904  3 Ge 2.36-2.41, 1 Ni 2.55
Ni: 0.0579 0.2500 0.4483  4 Ge 2.38-2.43, 2 Ni 2.66
Ni: 0.1776 0.7500 0.4090  4 Ge 2.44-2.57, 4 Ni 2.63-2.66
Ni: 0.2113 0.7500 0.8235  3 Ge 2.37, 3 Ni 2.55-2.63
Ni: 0.2887 0.2500 0.3235  3 Ge 2.37, 3 Ni 2.55-2.63
Ni: 0.3224 0.2500 0.9090  4 Ge 2.44-2.57, 4 Ni 2.63-2.66
Ni: 0.4421 0.7500 0.9483  4 Ge 2.38-2.43, 2 Ni 2.66
Ni: 0.4589 0.2500 0.3904  3 Ge 2.36-2.41, 1 Ni 2.55
Ni: 0.5411 0.7500 0.6096  3 Ge 2.36-2.41, 1 Ni 2.55
Ni: 0.5579 0.2500 0.0517  4 Ge 2.38-2.43, 2 Ni 2.66
Ni: 0.6776 0.7500 0.0910  4 Ge 2.44-2.57, 4 Ni 2.63-2.66
Ni: 0.7113 0.7500 0.6765  3 Ge 2.37, 3 Ni 2.55-2.63
Ni: 0.7887 0.2500 0.1765  3 Ge 2.37, 3 Ni 2.55-2.63
Ni: 0.8224 0.2500 0.5910  4 Ge 2.44-2.57, 4 Ni 2.63-2.66
Ni: 0.9421 0.7500 0.5517  4 Ge 2.38-2.43, 2 Ni 2.66
Ni: 0.9589 0.2500 0.1096  3 Ge 2.36-2.41, 1 Ni 2.55
Ge: 0.0288 0.7500 0.2472  7 Ni 2.36-2.44
Ge: 0.2023 0.2500 0.6272  7 Ni 2.37-2.57
Ge: 0.2977 0.7500 0.1272  7 Ni 2.37-2.57
Ge: 0.4712 0.2500 0.7472  7 Ni 2.36-2.44
Ge: 0.5288 0.7500 0.2528  7 Ni 2.36-2.44
Ge: 0.7023 0.2500 0.8728  7 Ni 2.37-2.57
Ge: 0.7977 0.7500 0.3728  7 Ni 2.37-2.57
Ge: 0.9712 0.2500 0.7528  7 Ni 2.36-2.44



No. 4
Here is Li2SmAlPd4 after structural relaxation from Alexandria. Energies are from GGA-PBE.

Calculated values
Energy of formation from the pure elements, kJ/mol of atoms: -66.55
Theoretical density, kg/m3: 7791
Volume, Å³/cell: 131.5
Symmetry: R-3m

Lattice parameters (Å, degrees): 8.2259 8.2259 8.2259 31.06 31.06 31.06
Closest atoms and distances in Å follow each position.
Element x y z (fractional)
Li: 0.2414 0.2414 0.2414  7 Pd 2.60-2.70
Li: 0.7586 0.7586 0.7586  7 Pd 2.60-2.70
Sm: 0.0000 0.0000 0.0000  8 Pd 2.92-3.06
Al: 0.5000 0.5000 0.5000  8 Pd 2.49-2.68
Pd: 0.1306 0.1306 0.1306  4 Li 2.60-2.70, 3 Al 2.68
Pd: 0.3941 0.3941 0.3941  1 Al 2.49, 3 Li 2.65
Pd: 0.6059 0.6059 0.6059  1 Al 2.49, 3 Li 2.65
Pd: 0.8694 0.8694 0.8694  4 Li 2.60-2.70, 3 Al 2.68



No. 5
Here is Zr2NpPa after structural relaxation from Alexandria. Energies are from GGA-PBE.

Calculated values
Energy of formation from the pure elements, kJ/mol of atoms: 26.49
Theoretical density, kg/m3: 11377
Volume, Å³/cell: 94.9
Symmetry: R-3m
Excess energy over the best structure of this formula in the dataset, meV/atom: 3

Lattice parameters (Å, degrees): 11.0437 11.0437 11.0437 16.52 16.52 16.52
Closest atoms and distances in Å follow each position.
Element x y z (fractional)
Zr: 0.2484 0.2484 0.2484  6 Zr 3.17, 3 Np 3.24, 3 Pa 3.33
Zr: 0.7516 0.7516 0.7516  6 Zr 3.17, 3 Np 3.24, 3 Pa 3.33
Np: 0.5000 0.5000 0.5000  6 Np 3.17, 6 Zr 3.24
Pa: 0.0000 0.0000 0.0000  6 Pa 3.17, 6 Zr 3.33



No. 6
Here is MgPtBr2 after structural relaxation from Alexandria. Energies are from GGA-PBE.

Calculated values
Theoretical density, kg/m3: 7228
Volume, Å³/cell: 87.1
Symmetry: I-4m2
Excess energy over the best structure of this formula in the dataset, meV/atom: 518

Lattice parameters (Å, degrees): 6.4595 6.4595 6.4595 145.26 145.26 49.95
Closest atoms and distances in Å follow each position.
Element x y z (fractional)
Mg: 0.0000 0.0000 0.0000  4 Br 2.73
Pt: 0.2500 0.7500 0.5000  4 Br 2.73
Br: 0.5000 0.5000 0.0000  4 Mg 2.73
Br: 0.7500 0.2500 0.5000  4 Pt 2.73



No. 7
Here is NaSi after structural relaxation from Alexandria. Energies are from GGA-PBE.

Calculated values
Theoretical density, kg/m3: 1048
Volume, Å³/cell: 323.7
Symmetry: I-43m
Excess energy over the best structure of this formula in the dataset, meV/atom: 144

Lattice parameters (Å, degrees): 7.4917 7.4917 7.4917 109.47 109.47 109.47
Closest atoms and distances in Å follow each position.
Element x y z (fractional)
Na: 0.0000 0.0000 0.5814  4 Si 2.87-2.99
Na: 0.0000 0.5814 0.0000  4 Si 2.87-2.99
Na: 0.4186 0.4186 0.4186  4 Si 2.87-2.99
Na: 0.5814 0.0000 0.0000  4 Si 2.87-2.99
Si: 0.0000 0.0000 0.1982  3 Si 2.42
Si: 0.0000 0.1982 0.0000  3 Si 2.42
Si: 0.1982 0.0000 0.0000  3 Si 2.42
Si: 0.8018 0.8018 0.8018  3 Si 2.42



No. 8
Here is NdTh2Pd2 after structural relaxation from Alexandria. Energies are from GGA-PBE.

Calculated values
Energy of formation from the pure elements, kJ/mol of atoms: -56.23
Theoretical density, kg/m3: 10470
Volume, Å³/cell: 260.5
Symmetry: P4/mbm
Excess energy over the best structure of this formula in the dataset, meV/atom: 0

Lattice parameters (Å, degrees): 8.2558 8.2558 3.8216 90.00 90.00 90.00
Closest atoms and distances in Å follow each position.
Element x y z (fractional)
Nd: 0.0000 0.0000 0.0000  4 Pd 3.26, 8 Th 3.62
Nd: 0.5000 0.5000 0.0000  4 Pd 3.26, 8 Th 3.62
Th: 0.1687 0.3313 0.5000  6 Pd 3.07-3.11
Th: 0.3313 0.8313 0.5000  6 Pd 3.07-3.11
Th: 0.6687 0.1687 0.5000  6 Pd 3.07-3.11
Th: 0.8313 0.6687 0.5000  6 Pd 3.07-3.11
Pd: 0.1250 0.6250 0.0000  1 Pd 2.92, 6 Th 3.07-3.11, 2 Nd 3.26
Pd: 0.3750 0.1250 0.0000  1 Pd 2.92, 6 Th 3.07-3.11, 2 Nd 3.26
Pd: 0.6250 0.8750 0.0000  1 Pd 2.92, 6 Th 3.07-3.11, 2 Nd 3.26
Pd: 0.8750 0.3750 0.0000  1 Pd 2.92, 6 Th 3.07-3.11, 2 Nd 3.26



No. 9
Here is Cd2In4Au9 after structural relaxation from Alexandria. Energies are from GGA-PBE.

Calculated values
Energy of formation from the pure elements, kJ/mol of atoms: -11.71
Theoretical density, kg/m3: 12493
Volume, Å³/cell: 326.5
Symmetry: P-3m1

Lattice parameters (Å, degrees): 4.6684 4.6684 17.3007 90.00 90.00 120.00
Closest atoms and distances in Å follow each position.
Element x y z (fractional)
Cd: 0.3333 0.6667 0.2417  4 Au 2.80-2.93
Cd: 0.6667 0.3333 0.7583  4 Au 2.80-2.93
In: 0.3333 0.6667 0.5691  4 Au 2.74-2.87
In: 0.3333 0.6667 0.8830  7 Au 2.87-3.07
In: 0.6667 0.3333 0.1170  7 Au 2.87-3.07
In: 0.6667 0.3333 0.4309  4 Au 2.74-2.87
Au: 0.0000 0.0000 0.0000  8 Au 2.89-3.04
Au: 0.0000 0.0000 0.1757  2 Au 2.80-3.04, 3 In 2.88, 3 Cd 2.93
Au: 0.0000 0.0000 0.3372  4 Au 2.80-2.93
Au: 0.0000 0.0000 0.6628  4 Au 2.80-2.93
Au: 0.0000 0.0000 0.8243  2 Au 2.80-3.04, 3 In 2.88, 3 Cd 2.93
Au: 0.3333 0.6667 0.0605  4 In 2.87-3.07, 3 Au 2.89, 1 Cd 3.13
Au: 0.3333 0.6667 0.4032  4 In 2.74-2.87, 1 Cd 2.80, 3 Au 2.93
Au: 0.6667 0.3333 0.5968  4 In 2.74-2.87, 1 Cd 2.80, 3 Au 2.93
Au: 0.6667 0.3333 0.9395  4 In 2.87-3.07, 3 Au 2.89, 1 Cd 3.13



No. 10
Here is Y2MoAs2 after structural relaxation from Alexandria. Energies are from GGA-PBE.

Calculated values
Energy of formation from the pure elements, kJ/mol of atoms: -78.11
Theoretical density, kg/m3: 6874
Volume, Å³/cell: 204.6
Symmetry: P4/mbm

Lattice parameters (Å, degrees): 6.9924 6.9924 4.1856 90.00 90.00 90.00
Closest atoms and distances in Å follow each position.
Element x y z (fractional)
Y: 0.1707 0.3293 0.0000  6 As 2.80-3.03
Y: 0.3293 0.8293 0.0000  6 As 2.80-3.03
Y: 0.6707 0.1707 0.0000  6 As 2.80-3.03
Y: 0.8293 0.6707 0.0000  6 As 2.80-3.03
Mo: 0.0000 0.0000 0.5000  4 As 2.69
Mo: 0.5000 0.5000 0.5000  4 As 2.69
As: 0.1415 0.6415 0.5000  2 Mo 2.69, 2 Y 2.80, 1 As 2.80
As: 0.3585 0.1415 0.5000  2 Mo 2.69, 2 Y 2.80, 1 As 2.80
As: 0.6415 0.8585 0.5000  2 Mo 2.69, 2 Y 2.80, 1 As 2.80
As: 0.8585 0.3585 0.5000  2 Mo 2.69, 2 Y 2.80, 1 As 2.80



No. 11
Here is Sm5Al2Ga5 after structural relaxation from Alexandria. Energies are from GGA-PBE.

Calculated values
Energy of formation from the pure elements, kJ/mol of atoms: -52.00
Theoretical density, kg/m3: 6799
Volume, Å³/cell: 281.9
Symmetry: C2/m

Lattice parameters (Å, degrees): 8.0543 8.0543 10.4547 127.47 127.47 32.51
Closest atoms and distances in Å follow each position.
Element x y z (fractional)
Sm: 0.0000 0.0000 0.0000  6 Ga 3.15-3.25, 4 Al 3.17
Sm: 0.1002 0.1002 0.4211  7 Ga 3.05-3.26, 3 Al 3.10-3.13
Sm: 0.1868 0.1868 0.8255  5 Ga 3.12-3.19, 1 Al 3.23, 1 Sm 3.44
Sm: 0.8132 0.8132 0.1745  5 Ga 3.12-3.19, 1 Al 3.23, 1 Sm 3.44
Sm: 0.8998 0.8998 0.5789  7 Ga 3.05-3.26, 3 Al 3.10-3.13
Al: 0.3508 0.3508 0.7332  3 Ga 2.63-2.65
Al: 0.6492 0.6492 0.2668  3 Ga 2.63-2.65
Ga: 0.2606 0.2606 0.3322  2 Al 2.65, 1 Ga 2.92
Ga: 0.4383 0.4383 0.1411  1 Al 2.63
Ga: 0.5000 0.5000 0.5000  4 Ga 2.92-3.23, 4 Sm 3.13
Ga: 0.5617 0.5617 0.8589  1 Al 2.63
Ga: 0.7394 0.7394 0.6678  2 Al 2.65, 1 Ga 2.92



No. 12
Here is ZrAu4Se after structural relaxation from Alexandria. Energies are from GGA-PBE.

Calculated values
Theoretical density, kg/m3: 13332
E, eV per atom: -4.242
Volume, Å³/cell: 119.3
Symmetry: F-43m

Lattice parameters (Å, degrees): 5.5262 5.5262 5.5262 60.00 60.00 60.00
Closest atoms and distances in Å follow each position.
Element x y z (fractional)
Zr: 0.0000 0.0000 0.0000  12 Au 3.24, 4 Se 3.38
Au: 0.1250 0.6250 0.6250  6 Au 2.76
Au: 0.6250 0.1250 0.6250  6 Au 2.76
Au: 0.6250 0.6250 0.1250  6 Au 2.76
Au: 0.6250 0.6250 0.6250  6 Au 2.76
Se: 0.2500 0.2500 0.2500  12 Au 3.24, 4 Zr 3.38